# 1
AlP5 (GGA-PBE, relaxed); space-group type = C2/m, No. 12; ΔH_f (0 K) = 100.2 meV per atom
1.0
5.331 -1.718 0.000
5.331 1.718 0.000
-3.621 0.000 5.090
Al P
1 5
direct
0.000 0.000 0.000
0.161 0.161 0.834
0.331 0.331 0.647
0.500 0.500 0.500
0.669 0.669 0.353
0.839 0.839 0.166



# 2
AlP3 (GGA-PBE, relaxed); space-group type = Imm2, No. 44; ΔH_f (0 K) = 148.9 meV per atom
1.0
-1.466 5.118 2.368
1.466 -5.118 2.368
1.466 5.118 -2.368
Al P
1 3
direct
0.000 0.000 0.000
0.437 0.937 0.500
0.577 0.240 0.337
0.902 0.240 0.663



# 3
Al3P (GGA-PBE, relaxed); space-group type = R-3m, No. 166; ΔH_f (0 K) = 138.6 meV per atom
1.0
4.306 2.486 1.017
-4.306 2.486 1.017
0.000 -4.972 1.017
Al P
3 1
direct
0.000 0.500 0.500
0.500 0.000 0.500
0.500 0.500 0.000
0.000 0.000 0.000



# 4
Al3P (GGA-PBE, relaxed); space-group type = R-3m, No. 166; ΔH_f (0 K) = 111.5 meV per atom
1.0
1.446 0.835 8.733
-1.446 0.835 8.733
0.000 -1.669 8.733
Al P
3 1
direct
0.000 0.000 0.000
0.245 0.245 0.245
0.755 0.755 0.755
0.500 0.500 0.500



# 5
AlP5 (GGA-PBE, relaxed); space-group type = F-43m, No. 216; ΔH_f (0 K) = 731.4 meV per atom
1.0
0.000 3.591 3.591
3.591 0.000 3.591
3.591 3.591 0.000
Al P
1 5
direct
0.000 0.000 0.000
0.376 0.376 0.376
0.376 0.376 0.873
0.376 0.873 0.376
0.750 0.750 0.750
0.873 0.376 0.376



# 6
AlP (GGA-PBE, relaxed); space-group type = P6_3/mmc, No. 194; ΔH_f (0 K) = -111.2 meV per atom
1.0
3.544 0.000 0.000
-1.772 3.069 0.000
0.000 0.000 6.179
Al P
2 2
direct
0.333 0.667 0.250
0.667 0.333 0.750
0.000 0.000 0.000
0.000 0.000 0.500



# 7
AlP3 (GGA-PBE, relaxed); space-group type = Pmm2, No. 25; ΔH_f (0 K) = -119.3 meV per atom
1.0
3.558 0.000 0.000
0.000 4.938 0.000
0.000 0.000 3.752
Al P
1 3
direct
0.000 0.000 0.000
0.000 0.500 0.895
0.500 0.000 0.451
0.500 0.500 0.516



# 8
Al7P (GGA-PBE, relaxed); space-group type = Fm-3m, No. 225; ΔH_f (0 K) = 81.4 meV per atom
1.0
0.000 4.032 4.032
4.032 0.000 4.032
4.032 4.032 0.000
Al P
7 1
direct
0.000 0.000 0.000
0.000 0.000 0.500
0.000 0.500 0.000
0.000 0.500 0.500
0.500 0.000 0.000
0.500 0.000 0.500
0.500 0.500 0.000
0.500 0.500 0.500



# 9
AlP (GGA-PBE, relaxed); space-group type = Pm-3m, No. 221; ΔH_f (0 K) = 127.5 meV per atom
1.0
3.117 0.000 0.000
0.000 3.117 0.000
0.000 0.000 3.117
Al P
1 1
direct
0.000 0.000 0.000
0.500 0.500 0.500



# 10
AlP (GGA-PBE, relaxed); space-group type = P2_12_12_1, No. 19; ΔH_f (0 K) = -398.7 meV per atom
1.0
6.936 0.000 0.000
0.000 7.044 0.000
0.000 0.000 7.922
Al P
8 8
direct
0.134 0.065 0.242
0.158 0.605 0.968
0.342 0.395 0.468
0.366 0.935 0.742
0.634 0.435 0.758
0.658 0.895 0.032
0.842 0.105 0.532
0.866 0.565 0.258
0.168 0.406 0.212
0.190 0.105 0.540
0.310 0.895 0.040
0.332 0.594 0.712
0.668 0.094 0.788
0.690 0.395 0.460
0.810 0.605 0.960
0.832 0.906 0.288



# 11
AlP3 (GGA-PBE, relaxed); space-group type = P-6m2, No. 187; ΔH_f (0 K) = 193.4 meV per atom
1.0
3.331 0.000 0.000
-1.666 2.885 0.000
0.000 0.000 6.508
Al P
1 3
direct
0.000 0.000 0.000
0.000 0.000 0.500
0.667 0.333 0.253
0.667 0.333 0.747



# 12
Al2P (GGA-PBE, relaxed); space-group type = Pa-3, No. 205; ΔH_f (0 K) = 50.7 meV per atom
1.0
6.081 0.000 0.000
0.000 6.081 0.000
0.000 0.000 6.081
Al P
8 4
direct
0.123 0.123 0.123
0.123 0.377 0.623
0.377 0.623 0.123
0.377 0.877 0.623
0.623 0.123 0.377
0.623 0.377 0.877
0.877 0.623 0.377
0.877 0.877 0.877
0.000 0.000 0.500
0.000 0.500 0.000
0.500 0.000 0.000
0.500 0.500 0.500



Q: Which of these has the lowest ΔH_f (0 K)?
A: number 10



Q: Which of these has the highest ΔH_f (0 K)?
A: number 5